1.
LaReRu2: relaxed, PBE-GGA.

The value obtained for the calculated formation energy is 0.4655 eV/atom. The magnetic moment is 0.00 μB per atom. Its density is 10.67 g/cm³. As for the density of states at the Fermi level: 6.8 states/eV/cell. The value obtained for the uncorrected energy is -8.52 eV per atom. Its relative energy among the computed polymorphs is 330 meV per atom.

Cell lengths 6.023, 6.023, 6.023 Å; angles 104.64, 104.64, 119.63 degrees
Sites, in units of the cell vectors:
La (0.000, 0.000, 0.000)
La (0.750, 0.250, 0.500)
Re (0.250, 0.750, 0.500)
Re (0.500, 0.500, 0.000)
Ru (0.184, 0.125, 0.559)
Ru (0.375, 0.816, 0.941)
Ru (0.566, 0.625, 0.441)
Ru (0.875, 0.434, 0.059)

=====

2.
Cs5AlIn6: relaxed, PBE-GGA.

The value obtained for the calculated formation energy is 0.0084 eV/atom. The magnetic moment is 0.00 μB per atom. Its density is 3.61 g/cm³. The value obtained for the uncorrected energy is -2.03 eV per atom.

Cell lengths 9.300, 9.300, 9.105 Å; angles 100.77, 100.77, 119.73 degrees
Sites, in units of the cell vectors:
Cs (0.000, 0.000, 0.000)
Cs (0.156, 0.844, 0.500)
Cs (0.307, 0.693, 0.000)
Cs (0.693, 0.307, 0.000)
Cs (0.844, 0.156, 0.500)
Al (0.500, 0.500, 0.500)
In (0.209, 0.452, 0.322)
In (0.353, 0.353, 0.703)
In (0.452, 0.209, 0.322)
In (0.548, 0.791, 0.678)
In (0.647, 0.647, 0.297)
In (0.791, 0.548, 0.678)

=====

3.
AcAlIn2Pd4: relaxed, PBE-GGA.

The value obtained for the calculated formation energy is -0.6926 eV/atom. The magnetic moment is 0.00 μB per atom. Its density is 9.25 g/cm³. As for the density of states at the Fermi level: 3.6 states/eV/cell. The value obtained for the uncorrected energy is -4.95 eV per atom.

Cell lengths 9.473, 9.473, 9.473 Å; angles 27.80, 27.80, 27.80 degrees
Sites, in units of the cell vectors:
Ac (0.000, 0.000, 0.000)
Al (0.500, 0.500, 0.500)
In (0.239, 0.239, 0.239)
In (0.761, 0.761, 0.761)
Pd (0.137, 0.137, 0.137)
Pd (0.406, 0.406, 0.406)
Pd (0.594, 0.594, 0.594)
Pd (0.863, 0.863, 0.863)

=====

4.
Li2LaDyCd4: relaxed, PBE-GGA.

The value obtained for the calculated formation energy is -0.2643 eV/atom. The magnetic moment is 0.00 μB per atom. Its density is 6.56 g/cm³. As for the density of states at the Fermi level: 6.3 states/eV/cell. The value obtained for the uncorrected energy is -2.39 eV per atom.

Cell lengths 8.943, 8.943, 8.943 Å; angles 33.45, 33.45, 33.45 degrees
Sites, in units of the cell vectors:
Li (0.248, 0.248, 0.248)
Li (0.752, 0.752, 0.752)
La (0.000, 0.000, 0.000)
Dy (0.500, 0.500, 0.500)
Cd (0.129, 0.129, 0.129)
Cd (0.379, 0.379, 0.379)
Cd (0.621, 0.621, 0.621)
Cd (0.871, 0.871, 0.871)

=====

5.
HoEr3Te4: relaxed, PBE-GGA.

The magnetic moment is 0.00 μB per atom. The uncorrected formation energy comes out at -1.2190 eV/atom. Its density is 8.57 g/cm³. As for the density of states at the Fermi level: 8.1 states/eV/cell. The value obtained for the uncorrected energy is -5.07 eV per atom. Its relative energy among the computed polymorphs is 0 meV per atom.

Cell lengths 7.518, 8.564, 7.507 Å; angles 90.00, 109.21, 90.00 degrees
Sites, in units of the cell vectors:
Ho (0.000, 0.125, 0.250)
Ho (0.000, 0.875, 0.750)
Er (0.000, 0.374, 0.750)
Er (0.000, 0.626, 0.250)
Er (0.500, 0.125, 0.750)
Er (0.500, 0.374, 0.250)
Er (0.500, 0.626, 0.750)
Er (0.500, 0.875, 0.250)
Te (0.251, 0.125, 0.000)
Te (0.251, 0.376, 0.501)
Te (0.251, 0.624, 0.001)
Te (0.251, 0.875, 0.500)
Te (0.749, 0.125, 0.500)
Te (0.749, 0.376, 0.999)
Te (0.749, 0.624, 0.499)
Te (0.749, 0.875, 0.000)

=====

6.
Ca2MnP: relaxed, PBE-GGA.

The value obtained for the calculated formation energy is -0.4307 eV/atom. The magnetic moment is 0.96 μB per atom. Its density is 2.84 g/cm³. As for the density of states at the Fermi level: 2.2 states/eV/cell. The value obtained for the uncorrected energy is -5.08 eV per atom.

Cell lengths 4.070, 6.028, 6.028 Å; angles 41.03, 90.00, 90.00 degrees
Sites, in units of the cell vectors:
Ca (0.000, 0.000, 0.000)
Ca (0.500, 0.287, 0.287)
Mn (0.000, 0.698, 0.698)
P (0.500, 0.581, 0.581)

=====

7.
HfNi3Pt6: relaxed, PBE-GGA.

The value obtained for the calculated formation energy is -0.3889 eV/atom. The magnetic moment is 0.30 μB per atom. Its density is 17.07 g/cm³. As for the density of states at the Fermi level: 26.5 states/eV/cell. The value obtained for the uncorrected energy is -6.74 eV per atom.

Cell lengths 8.483, 3.953, 8.861 Å; angles 90.00, 92.97, 90.00 degrees
Sites, in units of the cell vectors:
Hf (0.067, 0.250, 0.382)
Hf (0.933, 0.750, 0.618)
Ni (0.257, 0.250, 0.001)
Ni (0.347, 0.750, 0.815)
Ni (0.448, 0.250, 0.607)
Ni (0.552, 0.750, 0.393)
Ni (0.653, 0.250, 0.185)
Ni (0.743, 0.750, 0.999)
Pt (0.058, 0.750, 0.906)
Pt (0.153, 0.250, 0.703)
Pt (0.162, 0.750, 0.204)
Pt (0.262, 0.750, 0.514)
Pt (0.376, 0.250, 0.309)
Pt (0.460, 0.750, 0.100)
Pt (0.540, 0.250, 0.900)
Pt (0.624, 0.750, 0.691)
Pt (0.738, 0.250, 0.486)
Pt (0.838, 0.250, 0.796)
Pt (0.847, 0.750, 0.297)
Pt (0.942, 0.250, 0.094)

=====

8.
RbCd2In5: relaxed, PBE-GGA.

The value obtained for the calculated formation energy is -0.0574 eV/atom. The magnetic moment is 0.00 μB per atom. Its density is 6.13 g/cm³. As for the density of states at the Fermi level: 3.0 states/eV/cell. The value obtained for the uncorrected energy is -2.12 eV per atom.

Cell lengths 7.656, 7.656, 7.656 Å; angles 143.29, 113.84, 78.12 degrees
Sites, in units of the cell vectors:
Rb (0.000, 0.000, 0.000)
Cd (0.248, 0.748, 0.500)
Cd (0.752, 0.252, 0.500)
In (0.177, 0.364, 0.813)
In (0.448, 0.636, 0.813)
In (0.500, 0.000, 0.500)
In (0.552, 0.364, 0.187)
In (0.823, 0.636, 0.187)

=====

9.
YTmInGa: relaxed, PBE-GGA.

The value obtained for the calculated formation energy is -0.5178 eV/atom. The magnetic moment is 0.00 μB per atom. Its density is 7.54 g/cm³. As for the density of states at the Fermi level: 1.8 states/eV/cell. The value obtained for the uncorrected energy is -4.69 eV per atom. Its relative energy among the computed polymorphs is 0 meV per atom.

Cell lengths 3.551, 3.551, 7.731 Å; angles 90.00, 90.00, 90.00 degrees
Sites, in units of the cell vectors:
Y (0.000, 0.000, 0.000)
Tm (0.000, 0.000, 0.533)
In (0.500, 0.500, 0.270)
Ga (0.500, 0.500, 0.761)

=====

10.
TmTlHg: relaxed, PBE-GGA.

The value obtained for the calculated formation energy is -0.0269 eV/atom. The magnetic moment is 0.00 μB per atom. Its density is 10.65 g/cm³. As for the density of states at the Fermi level: 5.5 states/eV/cell. The value obtained for the uncorrected energy is -2.41 eV per atom. Its relative energy among the computed polymorphs is 258 meV per atom.

Cell lengths 5.263, 5.263, 6.460 Å; angles 90.00, 90.00, 90.00 degrees
Sites, in units of the cell vectors:
Tm (0.250, 0.250, 0.231)
Tm (0.750, 0.750, 0.769)
Tl (0.250, 0.750, 0.500)
Tl (0.750, 0.250, 0.500)
Hg (0.250, 0.750, 0.000)
Hg (0.750, 0.250, 0.000)

=====

11.
KLiPbSe: relaxed, PBE-GGA.

The magnetic moment is 0.00 μB per atom. The uncorrected formation energy comes out at -0.7391 eV/atom. Its density is 4.39 g/cm³. As for the density of states at the Fermi level: 6.5 states/eV/cell. The value obtained for the uncorrected energy is -3.29 eV per atom.

Cell lengths 4.385, 4.385, 13.063 Å; angles 90.00, 90.00, 90.00 degrees
Sites, in units of the cell vectors:
K (0.250, 0.250, 0.206)
K (0.750, 0.750, 0.794)
Li (0.250, 0.750, 0.000)
Li (0.750, 0.250, 0.000)
Pb (0.250, 0.750, 0.500)
Pb (0.750, 0.250, 0.500)
Se (0.250, 0.250, 0.890)
Se (0.750, 0.750, 0.110)

=====

12.
CsAgF2: relaxed, PBE-GGA.

The magnetic moment is 0.00 μB per atom. The uncorrected formation energy comes out at -1.5954 eV/atom. Its density is 6.02 g/cm³. As for the density of states at the Fermi level: 0.0 states/eV/cell. The value obtained for the uncorrected energy is -3.46 eV per atom. Its relative energy among the computed polymorphs is 243 meV per atom.

Cell lengths 3.395, 3.395, 6.668 Å; angles 90.00, 90.00, 90.00 degrees
Sites, in units of the cell vectors:
Cs (0.000, 0.000, 0.000)
Ag (0.000, 0.000, 0.500)
F (0.500, 0.500, 0.280)
F (0.500, 0.500, 0.720)

=====

- Which formula does entry 12 have?
  CsAgF2